## Lu2Mg3 (GGA-PBE)

Data for a relaxed Lu2Mg3 crystal.

Output
E ... -71.025 eV for the cell shown

Cell lengths 9.0829, 9.0829, 11.8522 Å; angles 90.00, 90.00, 120.00 degrees
Space group R-3c (No. 167, hexagonal axes)
Unique sites:
Lu 0.0000 0.0000 0.1248
Mg 0.0000 0.3189 0.2500